Below is a relaxed Li6Br3N crystal, with properties calculated at the PBE level.

It has space group Cm (No. 8), with a = 9.0123 Å, b = 8.9317 Å, c = 6.3702 Å, α = 90.00°, β = 134.98° and γ = 90.00°. Symmetry generates all atoms from Li at (0.0000, 0.0000, 0.0000), Li at (0.0607, 0.5000, 0.3160), Li at (0.1576, 0.0000, 0.7554), Li at (0.2852, 0.2146, 0.1652), Li at (0.4019, 0.0000, 0.5611), Br at (0.2769, 0.2499, 0.6526), Br at (0.2779, 0.5000, 0.1543) and N at (0.2805, 0.0000, 0.1583).

As for the crystal system: monoclinic. For the formation energy (no corrections), the calculation gives -1011 kJ/mol of formula units. For the relative energy among the computed polymorphs, the calculation gives 24 meV/atom. The calculation puts the size of the total moment at 0.12 μB per formula unit.



Below is a relaxed LiBrN2 crystal, with properties calculated at the PBE level.

It has space group R-3m (No. 166, hexagonal axes), with a = 3.5828 Å, b = 3.5828 Å, c = 14.2803 Å, α = 90.00°, β = 90.00° and γ = 120.00°. Symmetry generates all atoms from Li at (0.0000, 0.0000, 0.0000), Br at (0.0000, 0.0000, 0.5000) and N at (0.0000, 0.0000, 0.3497).

As for the crystal system: trigonal. For the formation energy (no corrections), the calculation gives 457 kJ/mol of formula units. For the relative energy among the computed polymorphs, the calculation gives 1925 meV/atom. The calculation puts the size of the total moment at 0.00 μB per formula unit.



Below is a relaxed Li5BrN crystal, with properties calculated at the PBE level.

It has space group Imma (No. 74), with a = 6.9658 Å, b = 7.4921 Å, c = 10.0179 Å, α = 90.00°, β = 90.00° and γ = 90.00°. Symmetry generates all atoms from Li at (0.0000, 0.0487, 0.1890), Li at (0.0000, 0.2500, 0.9653), Li at (0.2224, 0.0000, 0.5000), Br at (0.0000, 0.2500, 0.6284) and N at (0.0000, 0.0000, 0.0000).

As for the crystal system: orthorhombic. For the formation energy (no corrections), the calculation gives -375 kJ/mol of formula units. For the relative energy among the computed polymorphs, the calculation gives 0 meV/atom. The calculation puts the size of the total moment at 0.10 μB per formula unit.



Below is a relaxed Li3BrN crystal, with properties calculated at the PBE level.

It has space group C2/m (No. 12), with a = 13.4573 Å, b = 3.3991 Å, c = 7.3964 Å, α = 90.00°, β = 100.58° and γ = 90.00°. Symmetry generates all atoms from Li at (0.0658, 0.0000, 0.2697), Li at (0.1844, 0.5000, 0.1190), Li at (0.1905, 0.0000, 0.5419), Br at (0.1229, 0.0000, 0.8737) and N at (0.1491, 0.5000, 0.3702).

As for the crystal system: monoclinic. For the formation energy (no corrections), the calculation gives -240 kJ/mol of formula units. For the relative energy among the computed polymorphs, the calculation gives 86 meV/atom. The calculation puts the size of the total moment at 1.00 μB per formula unit.



Below is a relaxed Li2BrN2 crystal, with properties calculated at the PBE level.

It has space group C2/m (No. 12), with a = 6.6666 Å, b = 3.8507 Å, c = 6.5181 Å, α = 90.00°, β = 108.61° and γ = 90.00°. Symmetry generates all atoms from Li at (0.2378, 0.0000, 0.2578), Br at (0.0000, 0.5000, 0.0000) and N at (0.0651, 0.0000, 0.4556).

As for the crystal system: monoclinic. For the formation energy (no corrections), the calculation gives -293 kJ/mol of formula units. The calculation puts the size of the total moment at 0.90 μB per formula unit.



Below is a relaxed Li7BrN2 crystal, with properties calculated at the PBE level.

It has space group R-3m (No. 166, hexagonal axes), with a = 3.6973 Å, b = 3.6973 Å, c = 32.5423 Å, α = 90.00°, β = 90.00° and γ = 120.00°. Symmetry generates all atoms from Li at (0.0000, 0.0000, 0.0000), Li at (0.0000, 0.0000, 0.1191), Li at (0.0000, 0.0000, 0.2793), Li at (0.0000, 0.0000, 0.3976), Br at (0.0000, 0.0000, 0.5000) and N at (0.0000, 0.0000, 0.0597).

As for the crystal system: trigonal. For the formation energy (no corrections), the calculation gives -576 kJ/mol of formula units. For the relative energy among the computed polymorphs, the calculation gives 5 meV/atom. The calculation puts the size of the total moment at 0.00 μB per formula unit.